Density functional theory data (GGA-PBE) for crystalline TlSNCl2 at its relaxed geometry.

Properties
* total energy: -3.309 eV/atom
* E_form (uncorrected): 0.393 eV per atom

Cell and atoms, written as CIF:
```
data_TlSNCl2
_chemical_formula_sum 'Tl1 S1 N1 Cl2'
_cell_length_a 6.151
_cell_length_b 6.151
_cell_length_c 3.331
_cell_angle_alpha 90.00
_cell_angle_beta 90.00
_cell_angle_gamma 90.00
_symmetry_space_group_name_H-M 'P 4/m m m'
_symmetry_Int_Tables_number 123
_symmetry_space_group_name_Hall '-P 4 2'
loop_
_atom_site_label
_atom_site_type_symbol
_atom_site_fract_x
_atom_site_fract_y
_atom_site_fract_z
Tl1 Tl 0.000 0.000 0.000
S1 S 0.500 0.500 0.000
N1 N 0.500 0.500 0.500
Cl1 Cl 0.000 0.500 0.500
```

=====

Density functional theory data (GGA-PBE) for crystalline TlS2NCl at its relaxed geometry.

Properties
* total energy: -2.699 eV/atom
* E_form (uncorrected): 1.460 eV per atom

Cell and atoms, written as CIF:
```
data_TlS2NCl
_chemical_formula_sum 'Tl1 S2 N1 Cl1'
_cell_length_a 5.385
_cell_length_b 5.385
_cell_length_c 4.520
_cell_angle_alpha 90.00
_cell_angle_beta 90.00
_cell_angle_gamma 90.00
_symmetry_space_group_name_H-M 'P 4/m m m'
_symmetry_Int_Tables_number 123
_symmetry_space_group_name_Hall '-P 4 2'
loop_
_atom_site_label
_atom_site_type_symbol
_atom_site_fract_x
_atom_site_fract_y
_atom_site_fract_z
Tl1 Tl 0.000 0.000 0.000
S1 S 0.000 0.500 0.000
N1 N 0.000 0.000 0.500
Cl1 Cl 0.500 0.500 0.500
```

=====

Density functional theory data (GGA-PBE) for crystalline TlSN2Cl at its relaxed geometry.

Properties
* total energy: -2.985 eV/atom
* E_form (uncorrected): 2.013 eV per atom

Cell and atoms, written as CIF:
```
data_TlSN2Cl
_chemical_formula_sum 'Tl1 S1 N2 Cl1'
_cell_length_a 4.220
_cell_length_b 4.220
_cell_length_c 4.964
_cell_angle_alpha 90.00
_cell_angle_beta 90.00
_cell_angle_gamma 90.00
_symmetry_space_group_name_H-M 'P 4/m m m'
_symmetry_Int_Tables_number 123
_symmetry_space_group_name_Hall '-P 4 2'
loop_
_atom_site_label
_atom_site_type_symbol
_atom_site_fract_x
_atom_site_fract_y
_atom_site_fract_z
Tl1 Tl 0.000 0.000 0.000
S1 S 0.500 0.500 0.000
N1 N 0.000 0.500 0.500
Cl1 Cl 0.500 0.500 0.500
```

=====

Density functional theory data (GGA-PBE) for crystalline TlSNCl2 at its relaxed geometry.

Properties
* total energy: -2.632 eV/atom
* E_form (uncorrected): 1.070 eV per atom

Cell and atoms, written as CIF:
```
data_TlSNCl2
_chemical_formula_sum 'Tl1 S1 N1 Cl2'
_cell_length_a 5.377
_cell_length_b 5.377
_cell_length_c 5.304
_cell_angle_alpha 90.00
_cell_angle_beta 90.00
_cell_angle_gamma 90.00
_symmetry_space_group_name_H-M 'P 4/m m m'
_symmetry_Int_Tables_number 123
_symmetry_space_group_name_Hall '-P 4 2'
loop_
_atom_site_label
_atom_site_type_symbol
_atom_site_fract_x
_atom_site_fract_y
_atom_site_fract_z
Tl1 Tl 0.000 0.000 0.000
S1 S 0.000 0.000 0.500
N1 N 0.500 0.500 0.500
Cl1 Cl 0.000 0.500 0.000
```

=====

Density functional theory data (GGA-PBE) for crystalline TlS2NCl at its relaxed geometry.

Properties
* total energy: -2.787 eV/atom
* E_form (uncorrected): 1.372 eV per atom

Cell and atoms, written as CIF:
```
data_TlS2NCl
_chemical_formula_sum 'Tl1 S2 N1 Cl1'
_cell_length_a 5.009
_cell_length_b 5.009
_cell_length_c 4.158
_cell_angle_alpha 90.00
_cell_angle_beta 90.00
_cell_angle_gamma 90.00
_symmetry_space_group_name_H-M 'P 4/m m m'
_symmetry_Int_Tables_number 123
_symmetry_space_group_name_Hall '-P 4 2'
loop_
_atom_site_label
_atom_site_type_symbol
_atom_site_fract_x
_atom_site_fract_y
_atom_site_fract_z
Tl1 Tl 0.000 0.000 0.000
S1 S 0.000 0.500 0.500
N1 N 0.500 0.500 0.000
Cl1 Cl 0.500 0.500 0.500
```

=====

Density functional theory data (GGA-PBE) for crystalline TlSNCl2 at its relaxed geometry.

Properties
* total energy: -2.530 eV/atom
* E_form (uncorrected): 1.172 eV per atom

Cell and atoms, written as CIF:
```
data_TlSNCl2
_chemical_formula_sum 'Tl1 S1 N1 Cl2'
_cell_length_a 5.621
_cell_length_b 5.621
_cell_length_c 4.069
_cell_angle_alpha 90.00
_cell_angle_beta 90.00
_cell_angle_gamma 90.00
_symmetry_space_group_name_H-M 'P 4/m m m'
_symmetry_Int_Tables_number 123
_symmetry_space_group_name_Hall '-P 4 2'
loop_
_atom_site_label
_atom_site_type_symbol
_atom_site_fract_x
_atom_site_fract_y
_atom_site_fract_z
Tl1 Tl 0.000 0.000 0.000
S1 S 0.500 0.500 0.500
N1 N 0.000 0.000 0.500
Cl1 Cl 0.000 0.500 0.000
```

=====

Density functional theory data (GGA-PBE) for crystalline VSN2Cl at its relaxed geometry.

Properties
* total energy: -5.805 eV/atom
* E_form (uncorrected): 0.544 eV per atom

Cell and atoms, written as CIF:
```
data_VSN2Cl
_chemical_formula_sum 'V1 S1 N2 Cl1'
_cell_length_a 3.705
_cell_length_b 3.705
_cell_length_c 5.309
_cell_angle_alpha 90.00
_cell_angle_beta 90.00
_cell_angle_gamma 90.00
_symmetry_space_group_name_H-M 'P 4/m m m'
_symmetry_Int_Tables_number 123
_symmetry_space_group_name_Hall '-P 4 2'
loop_
_atom_site_label
_atom_site_type_symbol
_atom_site_fract_x
_atom_site_fract_y
_atom_site_fract_z
V1 V 0.000 0.000 0.000
S1 S 0.000 0.000 0.500
N1 N 0.000 0.500 0.000
Cl1 Cl 0.500 0.500 0.500
```

=====

Density functional theory data (GGA-PBE) for crystalline VSN2Cl at its relaxed geometry.

Properties
* total energy: -4.361 eV/atom
* E_form (uncorrected): 1.988 eV per atom

Cell and atoms, written as CIF:
```
data_VSN2Cl
_chemical_formula_sum 'V1 S1 N2 Cl1'
_cell_length_a 3.811
_cell_length_b 3.811
_cell_length_c 4.517
_cell_angle_alpha 90.00
_cell_angle_beta 90.00
_cell_angle_gamma 90.00
_symmetry_space_group_name_H-M 'P 4/m m m'
_symmetry_Int_Tables_number 123
_symmetry_space_group_name_Hall '-P 4 2'
loop_
_atom_site_label
_atom_site_type_symbol
_atom_site_fract_x
_atom_site_fract_y
_atom_site_fract_z
V1 V 0.000 0.000 0.000
S1 S 0.500 0.500 0.000
N1 N 0.000 0.500 0.500
Cl1 Cl 0.500 0.500 0.500
```

=====

Density functional theory data (GGA-PBE) for crystalline WS2NCl at its relaxed geometry.

Properties
* total energy: -5.928 eV/atom
* E_form (uncorrected): 0.348 eV per atom

Cell and atoms, written as CIF:
```
data_WS2NCl
_chemical_formula_sum 'W1 S2 N1 Cl1'
_cell_length_a 4.774
_cell_length_b 4.774
_cell_length_c 3.885
_cell_angle_alpha 90.00
_cell_angle_beta 90.00
_cell_angle_gamma 90.00
_symmetry_space_group_name_H-M 'P 4/m m m'
_symmetry_Int_Tables_number 123
_symmetry_space_group_name_Hall '-P 4 2'
loop_
_atom_site_label
_atom_site_type_symbol
_atom_site_fract_x
_atom_site_fract_y
_atom_site_fract_z
W1 W 0.000 0.000 0.000
S1 S 0.000 0.500 0.000
N1 N 0.000 0.000 0.500
Cl1 Cl 0.500 0.500 0.500
```

=====

Density functional theory data (GGA-PBE) for crystalline WS2NCl at its relaxed geometry.

Properties
* total energy: -5.373 eV/atom
* E_form (uncorrected): 0.903 eV per atom

Cell and atoms, written as CIF:
```
data_WS2NCl
_chemical_formula_sum 'W1 S2 N1 Cl1'
_cell_length_a 4.649
_cell_length_b 4.649
_cell_length_c 4.920
_cell_angle_alpha 90.00
_cell_angle_beta 90.00
_cell_angle_gamma 90.00
_symmetry_space_group_name_H-M 'P 4/m m m'
_symmetry_Int_Tables_number 123
_symmetry_space_group_name_Hall '-P 4 2'
loop_
_atom_site_label
_atom_site_type_symbol
_atom_site_fract_x
_atom_site_fract_y
_atom_site_fract_z
W1 W 0.000 0.000 0.000
S1 S 0.000 0.500 0.000
N1 N 0.500 0.500 0.500
Cl1 Cl 0.000 0.000 0.500
```

=====

Density functional theory data (GGA-PBE) for crystalline WS2NCl at its relaxed geometry.

Properties
* total energy: -4.281 eV/atom
* E_form (uncorrected): 1.995 eV per atom

Cell and atoms, written as CIF:
```
data_WS2NCl
_chemical_formula_sum 'W1 S2 N1 Cl1'
_cell_length_a 4.713
_cell_length_b 4.713
_cell_length_c 3.273
_cell_angle_alpha 90.00
_cell_angle_beta 90.00
_cell_angle_gamma 90.00
_symmetry_space_group_name_H-M 'P 4/m m m'
_symmetry_Int_Tables_number 123
_symmetry_space_group_name_Hall '-P 4 2'
loop_
_atom_site_label
_atom_site_type_symbol
_atom_site_fract_x
_atom_site_fract_y
_atom_site_fract_z
W1 W 0.000 0.000 0.000
S1 S 0.000 0.500 0.500
N1 N 0.500 0.500 0.000
Cl1 Cl 0.500 0.500 0.500
```

=====

Density functional theory data (GGA-PBE) for crystalline WS2NCl at its relaxed geometry.

Properties
* total energy: -4.744 eV/atom
* E_form (uncorrected): 1.532 eV per atom

Cell and atoms, written as CIF:
```
data_WS2NCl
_chemical_formula_sum 'W1 S2 N1 Cl1'
_cell_length_a 4.154
_cell_length_b 4.154
_cell_length_c 3.959
_cell_angle_alpha 90.00
_cell_angle_beta 90.00
_cell_angle_gamma 90.00
_symmetry_space_group_name_H-M 'P 4/m m m'
_symmetry_Int_Tables_number 123
_symmetry_space_group_name_Hall '-P 4 2'
loop_
_atom_site_label
_atom_site_type_symbol
_atom_site_fract_x
_atom_site_fract_y
_atom_site_fract_z
W1 W 0.000 0.000 0.000
S1 S 0.000 0.500 0.500
N1 N 0.500 0.500 0.500
Cl1 Cl 0.500 0.500 0.000
```

=====

| no. | magnetic moment (Bohr magnetons per cell) |
| --- | --- |
| 1 | 0.00 |
| 2 | 5.15 |
| 3 | 2.71 |
| 4 | 4.25 |
| 5 | 2.23 |
| 6 | 2.76 |
| 7 | 0.42 |
| 8 | 1.45 |
| 9 | 0.15 |
| 10 | 2.93 |
| 11 | 1.47 |
| 12 | 0.00 |